Entry 1:
Computed, not measured: crystalline La3NdGe2 at its relaxed geometry at the PBE level of DFT.

a = 6.5412 Å, b = 16.9170 Å, c = 4.5824 Å
α = 90.00°, β = 134.46°, γ = 90.00°
Space group C2/m (No. 12)
One atom of each set of equivalent atoms:
La 0.0000 0.0000 0.0000 (multiplicity 2)
La 0.0000 0.1825 0.5000 (multiplicity 4)
Nd 0.0000 0.5000 0.0000 (multiplicity 2)
Ge 0.0000 0.3666 0.5000 (multiplicity 4)

Calculated values
The crystal system is monoclinic. The calculation puts the density at 6.48 g/cm3. As for the energy above the lowest structure with this stoichiometry: 0.0 kJ per mole of atoms. The value obtained for the calculated formation energy is -0.6102 eV per atom.

Entry 2:
Computed, not measured: crystalline La2Nd2Ge3 at its relaxed geometry at the PBE level of DFT.

a = 4.3755 Å, b = 7.5848 Å, c = 7.7456 Å
α = 102.94°, β = 90.04°, γ = 106.72°
Space group P-1 (No. 2)
One atom of each set of equivalent atoms:
La 0.1250 0.2506 0.3841 (multiplicity 2)
Nd 0.3557 0.7137 0.1485 (multiplicity 2)
Ge 0.2640 0.5256 0.7606 (multiplicity 2)
Ge 0.5000 0.0000 0.5000 (multiplicity 1)

Calculated values
The crystal system is triclinic. The calculation puts the density at 5.44 g/cm3. The value obtained for the calculated formation energy is -0.6025 eV per atom.

Entry 3:
Computed, not measured: crystalline La2NdGe at its relaxed geometry at the PBE level of DFT.

a = 4.1496 Å, b = 4.1496 Å, c = 28.4879 Å
α = 90.00°, β = 90.00°, γ = 120.00°
Space group R3m (No. 160, hexagonal axes)
One atom of each set of equivalent atoms:
La 0.0000 0.0000 0.0000 (multiplicity 3)
La 0.0000 0.0000 0.2071 (multiplicity 3)
Nd 0.0000 0.0000 0.4377 (multiplicity 3)
Ge 0.0000 0.0000 0.6031 (multiplicity 3)

Calculated values
The crystal system is trigonal. The calculation puts the density at 5.80 g/cm3. As for the energy above the lowest structure with this stoichiometry: 21.0 kJ per mole of atoms. The value obtained for the calculated formation energy is -0.2394 eV per atom.

Entry 4:
Computed, not measured: crystalline LaNd2Ge4 at its relaxed geometry at the PBE level of DFT.

a = 4.1231 Å, b = 4.5050 Å, c = 18.6205 Å
α = 90.00°, β = 90.00°, γ = 90.00°
Space group Immm (No. 71)
One atom of each set of equivalent atoms:
La 0.0000 0.0000 0.0000 (multiplicity 2)
Nd 0.0000 0.5000 0.3191 (multiplicity 4)
Ge 0.0000 0.0000 0.4326 (multiplicity 4)
Ge 0.0000 0.5000 0.1552 (multiplicity 4)

Calculated values
The crystal system is orthorhombic. The calculation puts the density at 6.89 g/cm3. The value obtained for the calculated formation energy is -0.7874 eV per atom.